This record from Alexandria describes SmEu2VO6 after structural relaxation. The functional is GGA+U.

The calculation puts the density of states at the Fermi level at 2.584 states/eV per atom. As for the volume: 142.7 Å³ per cell. The total energy comes out at -88.7 eV for the cell shown. The total magnetic moment is 14.000 μB per cell. As for the space group: Fm-3m.

Unit cell a=5.8657 b=5.8657 c=5.8657 alpha=60.00 beta=60.00 gamma=60.00
With the nearest neighbours (Å) after each atom.
Element x y z (fractional)
O: 0.2707 0.2707 0.7293  1 V 1.90
O: 0.7293 0.7293 0.2707  1 V 1.90
O: 0.7293 0.2707 0.7293  1 V 1.90
O: 0.2707 0.7293 0.7293  1 V 1.90
O: 0.2707 0.7293 0.2707  1 V 1.90
O: 0.7293 0.2707 0.2707  1 V 1.90
Eu: 0.2500 0.2500 0.2500  12 O 2.94
Eu: 0.7500 0.7500 0.7500  12 O 2.94
V: 0.5000 0.5000 0.5000  6 O 1.90
Sm: 0.0000 0.0000 0.0000  6 O 2.25